Run one
Density functional theory data (meta-GGA SCAN) for a crystal of Sc2Tc relaxed with PBEsol.

abc: 5.3895 5.3895 5.3895
angles: 104.57 104.57 119.80
Closest atoms and distances in Å follow each position.
Fractional positions:
Sc 0.1700 0.6700 0.8401  4 Tc 2.80, 2 Sc 3.09
Sc 0.3300 0.1700 0.5000  4 Tc 2.80, 2 Sc 3.09
Sc 0.6700 0.8300 0.5000  4 Tc 2.80, 2 Sc 3.09
Sc 0.8300 0.3300 0.1599  4 Tc 2.80, 2 Sc 3.09
Tc 0.2500 0.2500 0.0000  2 Tc 2.70, 8 Sc 2.80
Tc 0.7500 0.7500 0.0000  2 Tc 2.70, 8 Sc 2.80

* Fermi-level density of states: 2.7 states/eV/f.u.

Run two
Density functional theory data (meta-GGA SCAN) for a crystal of Sc2Tc relaxed with PBEsol.

abc: 7.4592 7.4592 3.4701
angles: 90.00 90.00 120.00
Closest atoms and distances in Å follow each position.
Fractional positions:
Sc 0.0000 0.2721 0.0000  4 Tc 2.67-2.74
Sc 0.0000 0.6071 0.5000  5 Tc 2.88-2.93, 6 Sc 3.04-3.13
Sc 0.2721 0.0000 0.0000  4 Tc 2.67-2.74
Sc 0.3929 0.3929 0.5000  5 Tc 2.88-2.93, 6 Sc 3.04-3.13
Sc 0.6071 0.0000 0.5000  5 Tc 2.88-2.93, 6 Sc 3.04-3.13
Sc 0.7279 0.7279 0.0000  4 Tc 2.67-2.74
Tc 0.0000 0.0000 0.5000  9 Sc 2.67-2.93
Tc 0.3333 0.6667 0.0000  9 Sc 2.74-2.88
Tc 0.6667 0.3333 0.0000  9 Sc 2.74-2.88

* Fermi-level density of states: 1.6 states/eV/f.u.

In terms of stability, run one leads; the second structure lies 0.5 kJ/mol of atoms higher.

Run one
Density functional theory data (meta-GGA SCAN) for a crystal of MgCdW2 relaxed with PBEsol.

abc: 2.7189 2.7189 9.1709
angles: 90.00 90.00 90.00
Closest atoms and distances in Å follow each position.
Fractional positions:
Mg 0.0000 0.0000 0.0000  4 Mg 2.72, 8 W 2.98
Cd 0.0000 0.0000 0.5000  4 Cd 2.72, 8 W 3.01
W 0.5000 0.5000 0.2478  4 W 2.72, 4 Mg 2.98, 4 Cd 3.01
W 0.5000 0.5000 0.7522  4 W 2.72, 4 Mg 2.98, 4 Cd 3.01

* Fermi-level density of states: 2.1 states/eV/f.u.

Run two
Density functional theory data (meta-GGA SCAN) for a crystal of MgCdW2 relaxed with PBEsol.

abc: 5.4578 5.4578 2.7256
angles: 97.47 97.47 120.57
Closest atoms and distances in Å follow each position.
Fractional positions:
Mg 0.0000 0.0000 0.0000  2 Cd 2.71, 2 Mg 2.73, 4 W 2.89
Cd 0.5000 0.5000 0.0000  2 Mg 2.71, 2 Cd 2.73, 4 W 2.89
W 0.0000 0.5000 0.5000  4 W 2.71-2.73, 2 Cd 2.89, 2 Mg 2.89
W 0.5000 0.0000 0.5000  4 W 2.71-2.73, 2 Cd 2.89, 2 Mg 2.89

* Fermi-level density of states: 2.0 states/eV/f.u.

In terms of stability, run two leads; the second structure lies 7.6 kJ/mol of atoms higher.

Run one
Density functional theory data (meta-GGA SCAN) for a crystal of SrCaOs2 relaxed with PBEsol.

abc: 4.8635 4.8635 4.8635
angles: 60.00 60.00 60.00
Closest atoms and distances in Å follow each position.
Fractional positions:
Sr 0.0000 0.0000 0.0000  8 Os 2.98
Ca 0.5000 0.5000 0.5000  8 Os 2.98
Os 0.2500 0.2500 0.2500  4 Ca 2.98, 4 Sr 2.98
Os 0.7500 0.7500 0.7500  4 Ca 2.98, 4 Sr 2.98

* Fermi-level density of states: 6.1 states/eV/f.u.

Run two
Density functional theory data (meta-GGA SCAN) for a crystal of SrCaOs2 relaxed with PBEsol.

abc: 4.7744 4.7744 4.7744
angles: 60.00 60.00 60.00
Closest atoms and distances in Å follow each position.
Fractional positions:
Sr 0.0000 0.0000 0.0000  4 Ca 2.92, 4 Os 2.92
Ca 0.7500 0.7500 0.7500  4 Os 2.92, 4 Sr 2.92
Os 0.2500 0.2500 0.2500  4 Os 2.92, 4 Sr 2.92
Os 0.5000 0.5000 0.5000  4 Os 2.92, 4 Ca 2.92

* Fermi-level density of states: 3.7 states/eV/f.u.

In terms of stability, run two leads; the second structure lies 31.8 kJ/mol of atoms higher.

Run one
Density functional theory data (meta-GGA SCAN) for a crystal of LiMnPO4 relaxed with PBEsol.

abc: 5.1554 5.1554 9.5357
angles: 90.00 90.00 120.00
Closest atoms and distances in Å follow each position.
Fractional positions:
Li 0.0000 0.0000 0.0000  3 O 1.86
Li 0.0000 0.0000 0.5000  3 O 1.86
Mn 0.3333 0.6667 0.1138  4 O 1.94-2.04
Mn 0.6667 0.3333 0.6138  4 O 1.94-2.04
P 0.3333 0.6667 0.4770  4 O 1.52-1.56
P 0.6667 0.3333 0.9770  4 O 1.52-1.56
O 0.0537 0.6735 0.5333  1 P 1.56
O 0.3265 0.3801 0.5333  1 P 1.56
O 0.3333 0.6667 0.3175  1 P 1.52
O 0.3801 0.0537 0.0333  1 P 1.56
O 0.6199 0.9463 0.5333  1 P 1.56
O 0.6667 0.3333 0.8175  1 P 1.52
O 0.6735 0.6199 0.0333  1 P 1.56
O 0.9463 0.3265 0.0333  1 P 1.56

* Fermi-level density of states: 0.0 states/eV/f.u.

Run two
Density functional theory data (meta-GGA SCAN) for a crystal of LiMnPO4 relaxed with PBEsol.

abc: 10.5265 10.5265 12.5944
angles: 90.00 90.00 120.00
Closest atoms and distances in Å follow each position.
Fractional positions:
Li 0.0000 0.0000 0.0000  4 O 1.99
Li 0.0000 0.0000 0.3333  4 O 1.99
Li 0.0000 0.0000 0.6667  4 O 1.99
Li 0.0000 0.5000 0.1588  4 O 1.99-2.07
Li 0.0000 0.5000 0.5079  4 O 1.99-2.07
Li 0.0000 0.5000 0.8333  4 O 2.10
Li 0.5000 0.0000 0.1745  4 O 1.99-2.07
Li 0.5000 0.0000 0.5000  4 O 2.10
Li 0.5000 0.0000 0.8255  4 O 1.99-2.07
Li 0.5000 0.5000 0.1667  4 O 2.10
Li 0.5000 0.5000 0.4921  4 O 1.99-2.07
Li 0.5000 0.5000 0.8412  4 O 1.99-2.07
Mn 0.0000 0.2504 0.3333  4 O 1.95-2.01
Mn 0.0000 0.7496 0.3333  4 O 1.95-2.01
Mn 0.2468 0.4936 0.0000  4 O 1.98-1.99
Mn 0.2468 0.7532 0.6667  4 O 1.98-1.99
Mn 0.2504 0.0000 0.0000  4 O 1.95-2.01
Mn 0.2504 0.2504 0.6667  4 O 1.95-2.01
Mn 0.4936 0.2468 0.3333  4 O 1.98-1.99
Mn 0.5064 0.7532 0.3333  4 O 1.98-1.99
Mn 0.7496 0.0000 0.0000  4 O 1.95-2.01
Mn 0.7496 0.7496 0.6667  4 O 1.95-2.01
Mn 0.7532 0.2468 0.6667  4 O 1.98-1.99
Mn 0.7532 0.5064 0.0000  4 O 1.98-1.99
P 0.0000 0.2425 0.8333  4 O 1.55
P 0.0000 0.7575 0.8333  4 O 1.55
P 0.2425 0.0000 0.5000  4 O 1.55
P 0.2425 0.2425 0.1667  4 O 1.55
P 0.2472 0.4943 0.5000  4 O 1.54-1.55
P 0.2472 0.7528 0.1667  4 O 1.54-1.55
P 0.4943 0.2472 0.8333  4 O 1.54-1.55
P 0.5057 0.7528 0.8333  4 O 1.54-1.55
P 0.7528 0.2472 0.1667  4 O 1.54-1.55
P 0.7528 0.5057 0.5000  4 O 1.54-1.55
P 0.7575 0.0000 0.5000  4 O 1.55
P 0.7575 0.7575 0.1667  4 O 1.55
O 0.0604 0.1863 0.7442  1 P 1.55
O 0.0604 0.8741 0.9225  1 P 1.55
O 0.1003 0.4026 0.4403  1 P 1.55
O 0.1003 0.6978 0.2264  1 P 1.55
O 0.1165 0.3945 0.8776  1 P 1.55
O 0.1165 0.7220 0.7891  1 P 1.55
O 0.1259 0.1863 0.2558  1 P 1.55
O 0.1259 0.9396 0.4109  1 P 1.55
O 0.1863 0.0604 0.5891  1 P 1.55
O 0.1863 0.1259 0.0775  1 P 1.55
O 0.2056 0.5823 0.5762  1 P 1.54
O 0.2056 0.6233 0.0904  1 P 1.54
O 0.2780 0.3945 0.1224  1 P 1.55
O 0.2780 0.8835 0.5443  1 P 1.55
O 0.3022 0.4026 0.5597  1 P 1.55
O 0.3022 0.8997 0.1069  1 P 1.55
O 0.3767 0.5823 0.4238  1 P 1.54
O 0.3767 0.7944 0.2429  1 P 1.54
O 0.3945 0.1165 0.4557  1 P 1.55
O 0.3945 0.2780 0.2109  1 P 1.55
O 0.4026 0.1003 0.8931  1 P 1.55
O 0.4026 0.3022 0.7736  1 P 1.55
O 0.4177 0.6233 0.9096  1 P 1.54
O 0.4177 0.7944 0.7571  1 P 1.54
O 0.5823 0.2056 0.7571  1 P 1.54
O 0.5823 0.3767 0.9096  1 P 1.54
O 0.5974 0.6978 0.7736  1 P 1.55
O 0.5974 0.8997 0.8931  1 P 1.55
O 0.6055 0.7220 0.2109  1 P 1.55
O 0.6055 0.8835 0.4557  1 P 1.55
O 0.6233 0.2056 0.2429  1 P 1.54
O 0.6233 0.4177 0.4238  1 P 1.54
O 0.6978 0.1003 0.1069  1 P 1.55
O 0.6978 0.5974 0.5597  1 P 1.55
O 0.7220 0.1165 0.5443  1 P 1.55
O 0.7220 0.6055 0.1224  1 P 1.55
O 0.7944 0.3767 0.0904  1 P 1.54
O 0.7944 0.4177 0.5762  1 P 1.54
O 0.8137 0.8741 0.0775  1 P 1.55
O 0.8137 0.9396 0.5891  1 P 1.55
O 0.8741 0.0604 0.4109  1 P 1.55
O 0.8741 0.8137 0.2558  1 P 1.55
O 0.8835 0.2780 0.7891  1 P 1.55
O 0.8835 0.6055 0.8776  1 P 1.55
O 0.8997 0.3022 0.2264  1 P 1.55
O 0.8997 0.5974 0.4403  1 P 1.55
O 0.9396 0.1259 0.9225  1 P 1.55
O 0.9396 0.8137 0.7442  1 P 1.55

* Fermi-level density of states: 0.0 states/eV/f.u.

In terms of stability, run one leads; the second structure lies 2.7 kJ/mol of atoms higher.

Run one
Density functional theory data (meta-GGA SCAN) for a crystal of Li3BiO3 relaxed with PBEsol.

abc: 7.6143 7.6143 7.6143
angles: 109.47 109.47 109.47
Closest atoms and distances in Å follow each position.
Fractional positions:
Li 0.0000 0.4642 0.7080  1 O 1.87
Li 0.0000 0.7080 0.4642  1 O 1.87
Li 0.2438 0.5358 0.5358  1 O 1.87
Li 0.2920 0.2920 0.7562  1 O 1.87
Li 0.2920 0.7562 0.2920  1 O 1.87
Li 0.4642 0.0000 0.7080  1 O 1.87
Li 0.4642 0.7080 0.0000  1 O 1.87
Li 0.5358 0.2438 0.5358  1 O 1.87
Li 0.5358 0.5358 0.2438  1 O 1.87
Li 0.7080 0.0000 0.4642  1 O 1.87
Li 0.7080 0.4642 0.0000  1 O 1.87
Li 0.7562 0.2920 0.2920  1 O 1.87
Bi 0.0000 0.0000 0.2798  3 O 2.06
Bi 0.0000 0.2798 0.0000  3 O 2.06
Bi 0.2798 0.0000 0.0000  3 O 2.06
Bi 0.7202 0.7202 0.7202  3 O 2.06
O 0.0000 0.2453 0.5020  1 Li 1.87, 1 Bi 2.06
O 0.0000 0.5020 0.2453  1 Li 1.87, 1 Bi 2.06
O 0.2453 0.0000 0.5020  1 Li 1.87, 1 Bi 2.06
O 0.2453 0.5020 0.0000  1 Li 1.87, 1 Bi 2.06
O 0.2567 0.7547 0.7547  1 Li 1.87, 1 Bi 2.06
O 0.4980 0.4980 0.7433  1 Li 1.87, 1 Bi 2.06
O 0.4980 0.7433 0.4980  1 Li 1.87, 1 Bi 2.06
O 0.5020 0.0000 0.2453  1 Li 1.87, 1 Bi 2.06
O 0.5020 0.2453 0.0000  1 Li 1.87, 1 Bi 2.06
O 0.7433 0.4980 0.4980  1 Li 1.87, 1 Bi 2.06
O 0.7547 0.2567 0.7547  1 Li 1.87, 1 Bi 2.06
O 0.7547 0.7547 0.2567  1 Li 1.87, 1 Bi 2.06

* Fermi-level density of states: 0.0 states/eV/f.u.

Run two
Density functional theory data (meta-GGA SCAN) for a crystal of Li3BiO3 relaxed with PBEsol.

abc: 10.2838 10.2838 10.2838
angles: 97.49 97.49 137.67
Closest atoms and distances in Å follow each position.
Fractional positions:
Li 0.0280 0.5829 0.6236  3 O 1.88-2.00
Li 0.0287 0.9114 0.0365  3 O 1.89-2.03
Li 0.0928 0.0039 0.3605  3 O 1.86-1.89
Li 0.1100 0.7377 0.8975  3 O 1.91-1.93
Li 0.1544 0.2780 0.9452  3 O 1.88-2.00
Li 0.2752 0.9005 0.4790  3 O 1.89-2.02
Li 0.2947 0.9912 0.2859  3 O 1.90-2.05
Li 0.3329 0.2092 0.0548  3 O 1.88-2.00
Li 0.4216 0.7963 0.5210  3 O 1.89-2.02
Li 0.4823 0.3428 0.5888  3 O 1.86-1.89
Li 0.4877 0.0903 0.1278  3 O 1.91-1.93
Li 0.5463 0.5252 0.8747  3 O 1.89-2.02
Li 0.6434 0.7323 0.6395  3 O 1.86-1.89
Li 0.6505 0.6716 0.1253  3 O 1.89-2.02
Li 0.6614 0.1249 0.3828  3 O 1.89-2.03
Li 0.7053 0.0088 0.7141  3 O 1.90-2.05
Li 0.7412 0.9553 0.1966  3 O 1.90-2.05
Li 0.7422 0.2787 0.6172  3 O 1.89-2.03
Li 0.7539 0.8934 0.4112  3 O 1.86-1.89
Li 0.7588 0.5447 0.8034  3 O 1.90-2.05
Li 0.8403 0.2125 0.1025  3 O 1.91-1.93
Li 0.8749 0.9922 0.9635  3 O 1.89-2.03
Li 0.9592 0.4044 0.3764  3 O 1.88-2.00
Li 0.9625 0.3600 0.8722  3 O 1.91-1.93
Bi 0.0459 0.9268 0.6845  3 O 2.06-2.18
Bi 0.1113 0.2959 0.6191  3 O 2.06-2.18
Bi 0.2422 0.3613 0.3155  3 O 2.06-2.18
Bi 0.3321 0.7091 0.1773  3 O 2.08-2.33
Bi 0.4591 0.7818 0.8769  3 O 2.08-2.33
Bi 0.5318 0.1549 0.8227  3 O 2.08-2.33
Bi 0.6768 0.4922 0.3809  3 O 2.06-2.18
Bi 0.9049 0.5821 0.1231  3 O 2.08-2.33
O 0.0292 0.7774 0.3302  3 Li 1.86-2.05
O 0.0874 0.0403 0.8858  4 Li 1.96-2.15, 1 Bi 2.06
O 0.0942 0.4317 0.2545  2 Li 1.88-1.91
O 0.1545 0.2016 0.1142  4 Li 1.96-2.15, 1 Bi 2.06
O 0.1773 0.8397 0.7455  2 Li 1.88-1.91
O 0.1817 0.4273 0.8375  2 Li 1.88-1.91
O 0.1944 0.8777 0.0880  4 Li 1.90-2.00
O 0.3788 0.2213 0.3951  3 Li 1.87-1.91
O 0.3908 0.8753 0.3654  3 Li 1.89-1.98, 1 Bi 2.08
O 0.4473 0.6990 0.6698  3 Li 1.86-2.05
O 0.4490 0.2792 0.7517  3 Li 1.86-2.05
O 0.5099 0.0254 0.6346  3 Li 1.89-1.98, 1 Bi 2.08
O 0.5274 0.6973 0.2483  3 Li 1.86-2.05
O 0.5897 0.3442 0.1625  2 Li 1.88-1.91
O 0.6253 0.7599 0.9846  3 Li 1.89-1.98, 1 Bi 2.08
O 0.6277 0.0397 0.1833  4 Li 1.90-2.00
O 0.7337 0.6288 0.6575  3 Li 1.87-1.91
O 0.7754 0.6408 0.0154  3 Li 1.89-1.98, 1 Bi 2.08
O 0.7897 0.1064 0.9120  4 Li 1.90-2.00
O 0.7903 0.4045 0.4529  4 Li 1.96-2.15, 1 Bi 2.06
O 0.8262 0.9837 0.6049  3 Li 1.87-1.91
O 0.8564 0.4444 0.8167  4 Li 1.90-2.00
O 0.9516 0.3374 0.5471  4 Li 1.96-2.15, 1 Bi 2.06
O 0.9713 0.0762 0.3425  3 Li 1.87-1.91

* Fermi-level density of states: 0.0 states/eV/f.u.

In terms of stability, run one leads; the second structure lies 3.7 kJ/mol of atoms higher.

Run one
Density functional theory data (meta-GGA SCAN) for a crystal of YTlMo2 relaxed with PBEsol.

abc: 3.0266 3.0266 9.4097
angles: 90.00 90.00 112.46
Closest atoms and distances in Å follow each position.
Fractional positions:
Y 0.0000 0.0000 0.0000  2 Mo 2.92, 4 Y 3.03, 2 Tl 3.23
Tl 0.5000 0.5000 0.7069  2 Mo 2.95, 4 Tl 3.03, 2 Y 3.23
Mo 0.0000 0.0000 0.4489  2 Mo 2.50
Mo 0.5000 0.5000 0.2530  2 Mo 2.50

* Fermi-level density of states: 2.6 states/eV/f.u.

Run two
Density functional theory data (meta-GGA SCAN) for a crystal of YTlMo2 relaxed with PBEsol.

abc: 4.7610 4.7610 4.7610
angles: 60.00 60.00 60.00
Closest atoms and distances in Å follow each position.
Fractional positions:
Y 0.0000 0.0000 0.0000  4 Tl 2.92, 4 Mo 2.92
Tl 0.2500 0.2500 0.2500  4 Mo 2.92, 4 Y 2.92
Mo 0.5000 0.5000 0.5000  4 Tl 2.92, 4 Mo 2.92
Mo 0.7500 0.7500 0.7500  4 Mo 2.92, 4 Y 2.92

* Fermi-level density of states: 1.2 states/eV/f.u.

In terms of stability, run two leads; the second structure lies 0.9 kJ/mol of atoms higher.